(one)
The following is a DFT calculation (meta-GGA SCAN) of a PBEsol-optimized structure of AgPS3.

```
5
Lattice="-3.214 1.947 -2.757 1.326 -2.772 -3.504 -3.103 -3.201 1.358" Properties=species:S:1:pos:R:3 pbc="T T T"
P -2.495 -2.013 -2.451
S 0.663 -1.386 -1.752
S -1.552 -1.600 0.679
S -1.607 0.973 -1.378
Ag 0.000 0.000 0.000
```

Calculated values
The value obtained for the volume is 20.24 Å³ per atom. The calculation puts the mass density at 3.9 Mg/m³.

=====

(two)
The following is a DFT calculation (meta-GGA SCAN) of a PBEsol-optimized structure of AgPS3.

```
10
Lattice="-3.400 -5.216 1.842 2.577 -0.028 -5.960 5.666 0.939 3.153" Properties=species:S:1:pos:R:3 pbc="T T T"
P -0.711 -4.635 0.564
P 5.554 0.330 -1.529
S 0.969 -1.769 -3.421
S 3.875 -2.536 2.456
S 0.913 -3.541 1.395
S 3.930 -0.764 -2.361
S 3.126 -3.902 -1.135
S 1.718 -0.403 0.170
Ag -0.592 -3.772 -2.962
Ag -0.231 -1.472 -1.156
```

Calculated values
The value obtained for the volume is 20.45 Å³ per atom. The calculation puts the mass density at 3.8 Mg/m³.

=====

Stability check: which of them is least stable? (one).

=====

(one)
The following is a DFT calculation (meta-GGA SCAN) of a PBEsol-optimized structure of Ag2SbP.

```
4
Lattice="4.129 0.000 0.000 0.000 4.129 0.000 -2.065 -2.065 4.408" Properties=species:S:1:pos:R:3 pbc="T T T"
Ag 2.065 0.000 2.204
Ag 0.000 2.065 2.204
P 2.065 2.065 0.000
Sb 0.000 0.000 0.000
```

Calculated values
The value obtained for the volume is 18.79 Å³ per atom. The calculation puts the mass density at 8.1 Mg/m³.

=====

(two)
The following is a DFT calculation (meta-GGA SCAN) of a PBEsol-optimized structure of Ag2SbP.

```
8
Lattice="5.758 0.878 1.286 -1.907 5.503 -1.286 -1.907 -3.202 4.657" Properties=species:S:1:pos:R:3 pbc="T T T"
Sb 0.000 0.000 0.000
Sb 0.972 3.766 0.843
Ag 4.200 3.706 1.064
Ag -1.303 -1.102 2.750
Ag 1.576 1.225 2.104
Ag -0.586 2.530 3.396
P -1.907 1.151 1.686
P 0.972 -0.586 3.815
```

Calculated values
The value obtained for the volume is 19.40 Å³ per atom. The calculation puts the mass density at 7.9 Mg/m³.

=====

(three)
The following is a DFT calculation (meta-GGA SCAN) of a PBEsol-optimized structure of Ag2SbP.

```
4
Lattice="-1.530 -4.276 1.441 0.935 -3.871 -2.616 3.119 -3.241 1.572" Properties=species:S:1:pos:R:3 pbc="T T T"
Ag 0.000 0.000 0.000
Ag 1.893 -8.541 0.298
P 1.262 -5.694 0.199
Sb 0.631 -2.847 0.099
```

Calculated values
The value obtained for the volume is 19.12 Å³ per atom. The calculation puts the mass density at 8.0 Mg/m³.

=====

Stability check: which of them is least stable? (three).

=====

(one)
The following is a DFT calculation (meta-GGA SCAN) of a PBEsol-optimized structure of Ag2PSe.

```
4
Lattice="-2.072 0.547 1.770 1.757 -2.218 2.742 3.303 5.353 2.213" Properties=species:S:1:pos:R:3 pbc="T T T"
Ag 0.050 0.082 0.034
Ag 0.746 0.628 2.861
P 1.385 2.244 0.928
Se 2.458 3.404 4.009
```

Calculated values
The value obtained for the volume is 18.26 Å³ per atom. The calculation puts the mass density at 7.4 Mg/m³.

=====

(two)
The following is a DFT calculation (meta-GGA SCAN) of a PBEsol-optimized structure of Ag2PSe.

```
4
Lattice="-2.569 -1.798 -1.688 2.981 -1.072 -3.396 0.890 -2.075 4.612" Properties=species:S:1:pos:R:3 pbc="T T T"
Ag 0.778 -3.267 -1.461
Ag 0.524 -1.678 0.990
P -1.284 -0.899 -0.844
Se 1.490 -0.536 -1.698
```

Calculated values
The value obtained for the volume is 17.44 Å³ per atom. The calculation puts the mass density at 7.8 Mg/m³.

=====

Stability check: which of them is least stable? (two).

=====

(one)
The following is a DFT calculation (meta-GGA SCAN) of a PBEsol-optimized structure of TcAgP2.

```
4
Lattice="3.110 0.025 0.000 -0.736 4.204 0.000 0.000 0.000 4.514" Properties=species:S:1:pos:R:3 pbc="T T T"
Ag -0.003 3.120 2.257
P 0.153 0.125 0.000
P 1.649 1.155 2.257
Tc 1.761 1.944 0.000
```

Calculated values
The value obtained for the volume is 14.77 Å³ per atom. The calculation puts the mass density at 7.5 Mg/m³.

=====

(two)
The following is a DFT calculation (meta-GGA SCAN) of a PBEsol-optimized structure of TcAgP2.

```
4
Lattice="2.843 -0.057 0.000 -1.258 2.550 0.000 0.000 0.000 8.416" Properties=species:S:1:pos:R:3 pbc="T T T"
Ag 0.792 1.247 0.000
P 0.000 0.000 2.351
P 0.000 0.000 6.066
Tc 0.792 1.247 4.208
```

Calculated values
The value obtained for the volume is 15.10 Å³ per atom. The calculation puts the mass density at 7.4 Mg/m³.

=====

Stability check: which of them is least stable? (two).

=====

(one)
The following is a DFT calculation (meta-GGA SCAN) of a PBEsol-optimized structure of AgTeP.

```
3
Lattice="3.034 0.000 0.000 0.000 3.034 0.000 -1.517 -1.517 6.813" Properties=species:S:1:pos:R:3 pbc="T T T"
P 0.000 0.000 4.942
Te 1.517 1.517 2.265
Ag 1.517 1.517 6.418
```

Calculated values
The value obtained for the volume is 20.91 Å³ per atom. The calculation puts the mass density at 7.1 Mg/m³.

=====

(two)
The following is a DFT calculation (meta-GGA SCAN) of a PBEsol-optimized structure of AgTeP.

```
3
Lattice="3.041 0.000 0.000 0.000 4.074 0.000 -1.520 -2.037 5.797" Properties=species:S:1:pos:R:3 pbc="T T T"
P 1.520 2.037 0.740
Te 0.000 0.000 4.031
Ag 0.000 0.000 1.026
```

Calculated values
The value obtained for the volume is 23.94 Å³ per atom. The calculation puts the mass density at 6.2 Mg/m³.

=====

Stability check: which of them is least stable? (one).

=====

(one)
The following is a DFT calculation (meta-GGA SCAN) of a PBEsol-optimized structure of TlAg2P.

```
4
Lattice="3.536 0.000 0.000 0.000 3.536 0.000 0.000 0.000 6.057" Properties=species:S:1:pos:R:3 pbc="T T T"
Ag 0.000 0.000 0.166
Ag 1.768 1.768 1.692
P 0.000 0.000 2.667
Tl 1.768 1.768 4.559
```

Calculated values
The value obtained for the volume is 18.94 Å³ per atom. The calculation puts the mass density at 9.9 Mg/m³.

=====

(two)
The following is a DFT calculation (meta-GGA SCAN) of a PBEsol-optimized structure of TlAg2P.

```
4
Lattice="-4.101 -1.553 -1.793 -0.273 -1.236 -4.565 -0.488 -4.558 -1.195" Properties=species:S:1:pos:R:3 pbc="T T T"
Ag -1.215 -1.837 -1.888
Ag -3.646 -5.510 -5.665
P 0.000 0.000 0.000
Tl -2.431 -3.673 -3.777
```

Calculated values
The value obtained for the volume is 18.80 Å³ per atom. The calculation puts the mass density at 10.0 Mg/m³.

=====

Stability check: which of them is least stable? (two).